SrFeBr | the Alexandria database | PBE-GGA | relaxed; VASP energy = -11.6 eV/f.u.; symmetry = P-6m2
1.0
-2.6081 -1.2162 -3.3468
2.3732 -3.0292 2.1620
-3.2445 -0.5855 2.7411
Br Fe Sr
1 1 1
direct
0.0000 0.0000 0.1668 Br
0.6667 0.3333 0.1667 Fe
0.3333 0.6667 0.6665 Sr